LaCdIn | Alexandria via LeMat-Bulk | meta-GGA SCAN | single point on PBEsol structure; symmetry = P-6m2, No. 187; formation enthalpy at 0 K = -0.612 eV/atom; magnetic moment = 0.4 μB/cell
1.0
3.694 0.000 0.000
0.000 4.972 0.000
0.000 -2.486 4.306
In La Cd
1 1 1
direct
0.833 0.667 0.333 In
0.333 0.333 0.667 La
0.834 0.000 0.000 Cd

ZnSb2Pb | Alexandria via LeMat-Bulk | meta-GGA SCAN | single point on PBEsol structure; uncorrected formation energy = 0.177 eV/atom; symmetry = C2/m, No. 12; magnetic moment = 0.0 μB/cell
1.0
-2.023 -1.764 2.823
4.584 -0.510 2.967
-1.790 5.267 -0.679
Zn Pb Sb
1 1 2
direct
0.000 0.500 0.000 Zn
0.500 0.000 0.000 Pb
0.286 0.307 0.572 Sb
0.714 0.693 0.428 Sb

CoReCl2 | Alexandria via LeMat-Bulk | meta-GGA SCAN | single point on PBEsol structure; uncorrected formation energy = 0.723 eV/atom; symmetry = Cmmm, No. 65; excess energy over the best structure of this formula in the dataset = 419.9 meV/atom; magnetic moment = 1.9 μB/cell
1.0
-2.545 0.969 -0.698
0.276 -2.934 0.582
-1.554 1.349 7.535
Re Cl Co
1 2 1
direct
0.500 0.000 0.000 Re
0.000 0.000 0.259 Cl
0.000 0.000 0.741 Cl
0.500 0.000 0.500 Co